No. 1
# HfNp2MnS5 GGA-PBE optimized geometry
data_HfNp2MnS5
_chemical_formula_sum 'Hf4 Np8 Mn4 S20'
_cell_length_a 3.6512
_cell_length_b 15.9696
_cell_length_c 11.5854
_cell_angle_alpha 90.00
_cell_angle_beta 90.00
_cell_angle_gamma 90.00
_space_group_name_H-M_alt 'C m c 21'
_space_group_IT_number 36
_space_group_name_Hall 'C 2c -2'
loop_
_atom_site_label
_atom_site_fract_x
_atom_site_fract_y
_atom_site_fract_z
_atom_site_occupancy
Hf1 0.0000 0.1783 0.0000 1
Np1 0.0000 0.1092 0.3252 1
Np2 0.0000 0.1267 0.6761 1
Mn1 0.0000 0.4403 0.4040 1
S1 0.0000 0.0158 0.0004 1
S2 0.0000 0.3046 0.3413 1
S3 0.0000 0.3077 0.6596 1
S4 0.0000 0.3410 0.9976 1
S5 0.0000 0.4987 0.2310 1
# calculated volume = 18.764 Å³/atom
# total energy = -307.15 eV for the cell shown
# formation energy without anion corrections = -1.239 eV per atom



No. 2
# HfNpMnTc GGA-PBE optimized geometry
data_HfNpMnTc
_chemical_formula_sum 'Hf4 Np4 Mn4 Tc4'
_cell_length_a 6.5588
_cell_length_b 6.5588
_cell_length_c 6.5588
_cell_angle_alpha 90.00
_cell_angle_beta 90.00
_cell_angle_gamma 90.00
_space_group_name_H-M_alt 'F -4 3 m'
_space_group_IT_number 216
_space_group_name_Hall 'F -4 2 3'
loop_
_atom_site_label
_atom_site_fract_x
_atom_site_fract_y
_atom_site_fract_z
_atom_site_occupancy
Hf1 0.0000 0.0000 0.0000 1
Np1 0.0000 0.0000 0.5000 1
Mn1 0.2500 0.2500 0.2500 1
Tc1 0.2500 0.2500 0.7500 1
# calculated volume = 17.634 Å³/atom
# total energy = -169.62 eV for the cell shown



> Which value of calculated volume does entry 2 give?

17.634 Å³/atom



> Number 2 is which compound?

HfNpMnTc



> Look up the calculated volume of the second one.

17.634 Å³/atom